1.
An optimized crystal structure of BaPdI4. Source: Alexandria via LeMat-Bulk, functional PBE-GGA.

Its formation energy (no corrections) is -5.1 eV per formula unit. Its total energy is -73.85 eV/cell.

It has space group C2/c (No. 15), with a = 11.040 Å, b = 7.805 Å, c = 12.310 Å, α = 90.00°, β = 101.18° and γ = 90.00°. The inequivalent atoms are Ba at (0.250, 0.250, 0.000), Pd at (0.000, 0.169, 0.250), I at (0.056, 0.238, 0.465) and I at (0.233, 0.073, 0.258).

***

2.
An optimized crystal structure of CoRh. Source: Alexandria via LeMat-Bulk, functional PBE-GGA.

The density of states at the Fermi level is 3.6 states/eV/f.u. Its total energy is -111.38 eV/cell.

It has space group Fd-3m (No. 227, origin choice 2), with a = 5.959 Å, b = 5.959 Å, c = 5.959 Å, α = 90.00°, β = 90.00° and γ = 90.00°. The inequivalent atoms are Co at (0.125, 0.125, 0.125) and Rh at (0.125, 0.125, 0.625).

***

3.
An optimized crystal structure of La2NdDy6Y3. Source: Alexandria via LeMat-Bulk, functional PBE-GGA.

The density of states at the Fermi level is 17.1 states/eV/f.u. Its total energy is -122.73 eV/cell.

It has space group C2/m (No. 12), with a = 6.235 Å, b = 10.800 Å, c = 11.897 Å, α = 90.00°, β = 100.05° and γ = 90.00°. The inequivalent atoms are La at (0.000, 0.167, 0.000), Nd at (0.000, 0.500, 0.000), Dy at (0.247, 0.500, 0.746), Dy at (0.248, 0.166, 0.746), Y at (0.000, 0.000, 0.500) and Y at (0.000, 0.333, 0.500).

***

4.
An optimized crystal structure of AlIn2Si. Source: Alexandria via LeMat-Bulk, functional PBE-GGA.

Its formation energy (no corrections) is 1.4 eV per formula unit. The density of states at the Fermi level is 2.0 states/eV/f.u. Its total energy is -13.28 eV/cell.

It has space group P2/m (No. 10), with a = 3.814 Å, b = 5.229 Å, c = 4.451 Å, α = 90.00°, β = 93.20° and γ = 90.00°. The inequivalent atoms are Al at (0.000, 0.000, 0.000), In at (0.253, 0.500, 0.747) and Si at (0.500, 0.000, 0.500).